DFT (PBE-GGA) results for a relaxed CaAc5S6 crystal.

Computed properties:
**DFT total energy**: -5.9513 eV/atom
**Crystal system**: monoclinic
**Space-group type**: No. 12

POSCAR file:
```
CaAc5S6
1.0
7.3081 0.1815 1.1120
1.7996 6.1907 3.6098
0.1238 0.0583 7.4000
S Ca Ac
6 1 5
direct
0.7594 0.0797 0.3212 S
0.2406 0.5991 0.3212 S
0.2438 0.2392 0.0000 S
0.7562 0.7608 0.0000 S
0.7594 0.4009 0.6788 S
0.2406 0.9203 0.6788 S
0.0000 0.0000 0.0000 Ca
0.5000 0.1692 0.6615 Ac
0.0000 0.3338 0.3324 Ac
0.5000 0.5000 0.0000 Ac
0.0000 0.6662 0.6676 Ac
0.5000 0.8308 0.3385 Ac
```

***

DFT (PBE-GGA) results for a relaxed Ca4AcS5 crystal.

Computed properties:
**DFT total energy**: -5.3631 eV/atom
**Crystal system**: tetragonal
**Space-group type**: No. 139

POSCAR file:
```
Ca4AcS5
1.0
4.0853 0.0000 -0.5757
-0.0811 4.0845 -0.5757
0.0015 0.0015 14.7925
Ca Ac S
4 1 5
direct
0.3964 0.3964 0.7927 Ca
0.7984 0.7984 0.5969 Ca
0.2016 0.2016 0.4031 Ca
0.6036 0.6036 0.2073 Ca
0.0000 0.0000 0.0000 Ac
0.1039 0.1039 0.2078 S
0.5000 0.5000 0.0000 S
0.8961 0.8961 0.7922 S
0.2992 0.2992 0.5983 S
0.7008 0.7008 0.4017 S
```

***

DFT (PBE-GGA) results for a relaxed CaAc2ScS6 crystal.

Computed properties:
**DFT total energy**: -6.0411 eV/atom
**Crystal system**: monoclinic
**Space-group type**: No. 14

POSCAR file:
```
CaAc2ScS6
1.0
6.7161 0.0000 -0.0151
0.0000 7.5843 0.0000
0.0384 0.0000 9.9510
Ca Ac Sc S
2 4 2 12
direct
0.5000 0.0000 0.5000 Ca
0.0000 0.5000 0.0000 Ca
0.0354 0.9038 0.2498 Ac
0.5354 0.5962 0.7498 Ac
0.9646 0.0962 0.7502 Ac
0.4646 0.4038 0.2502 Ac
0.5000 0.0000 0.0000 Sc
0.0000 0.5000 0.5000 Sc
0.3344 0.6982 0.0619 S
0.8344 0.8018 0.5619 S
0.6656 0.3018 0.9381 S
0.1656 0.1982 0.4381 S
0.3145 0.6780 0.4439 S
0.8145 0.8220 0.9439 S
0.6855 0.3220 0.5561 S
0.1855 0.1780 0.0561 S
0.8808 0.5375 0.2597 S
0.3808 0.9625 0.7597 S
0.1192 0.4625 0.7403 S
0.6192 0.0375 0.2403 S
```

***

DFT (PBE-GGA) results for a relaxed CaAcSm2S4 crystal.

Computed properties:
**DFT total energy**: -6.0236 eV/atom
**Crystal system**: monoclinic
**Space-group type**: No. 10

POSCAR file:
```
CaAcSm2S4
1.0
4.0693 0.0000 0.0000
0.0000 7.1157 -0.1692
0.0000 2.4780 6.6575
Ca Ac Sm S
1 1 2 4
direct
0.0000 0.5000 0.5000 Ca
0.5000 0.5000 0.0000 Ac
0.0000 0.0000 0.0000 Sm
0.5000 0.0000 0.5000 Sm
0.0000 0.7614 0.7351 S
0.0000 0.2386 0.2649 S
0.5000 0.7549 0.2578 S
0.5000 0.2451 0.7422 S
```

***

DFT (PBE-GGA) results for a relaxed Ca2AcSmS4 crystal.

Computed properties:
**DFT total energy**: -5.6979 eV/atom
**Crystal system**: monoclinic
**Space-group type**: No. 10

POSCAR file:
```
Ca2AcSmS4
1.0
4.0812 0.0000 0.0000
0.0000 7.0697 0.1243
0.0000 -2.4696 6.7333
Ca Ac Sm S
2 1 1 4
direct
0.5000 0.0000 0.5000 Ca
0.0000 0.5000 0.5000 Ca
0.5000 0.5000 0.0000 Ac
0.0000 0.0000 0.0000 Sm
0.5000 0.2432 0.2571 S
0.5000 0.7568 0.7429 S
0.0000 0.2354 0.7355 S
0.0000 0.7646 0.2645 S
```

***

DFT (PBE-GGA) results for a relaxed CaAc2SmS4 crystal.

Computed properties:
**DFT total energy**: -5.9463 eV/atom
**Crystal system**: monoclinic
**Space-group type**: No. 10

POSCAR file:
```
CaAc2SmS4
1.0
4.1341 0.0000 0.0000
0.0000 7.2034 0.1401
0.0000 -2.5021 6.8163
Ca Ac Sm S
1 2 1 4
direct
0.5000 0.5000 0.0000 Ca
0.5000 0.0000 0.5000 Ac
0.0000 0.5000 0.5000 Ac
0.0000 0.0000 0.0000 Sm
0.5000 0.2448 0.2279 S
0.5000 0.7552 0.7721 S
0.0000 0.2584 0.7720 S
0.0000 0.7416 0.2280 S
```

***

DFT (PBE-GGA) results for a relaxed Sr3CaAc3S8 crystal.

Computed properties:
**DFT total energy**: -5.5736 eV/atom
**Crystal system**: trigonal
**Space-group type**: No. 166

POSCAR file:
```
Sr3CaAc3S8
1.0
8.5567 0.0000 0.0000
-4.2784 7.4105 -0.0254
0.0000 -4.9164 6.9969
Sr Ca Ac S
3 1 3 8
direct
0.0000 0.0000 0.0000 Sr
0.0000 0.5000 0.0000 Sr
0.5000 0.5000 0.0000 Sr
0.0000 0.0000 0.5000 Ca
0.5000 0.0000 0.5000 Ac
0.5000 0.5000 0.5000 Ac
0.0000 0.5000 0.5000 Ac
0.2494 0.4989 0.2483 S
0.7506 0.5011 0.7517 S
0.7622 0.5243 0.2658 S
0.2378 0.4757 0.7342 S
0.7622 0.0037 0.2658 S
0.2378 0.9963 0.7342 S
0.2415 0.0037 0.2658 S
0.7585 0.9963 0.7342 S
```

***

DFT (PBE-GGA) results for a relaxed SrCa2AcS4 crystal.

Computed properties:
**DFT total energy**: -5.3634 eV/atom
**Crystal system**: monoclinic
**Space-group type**: No. 10

POSCAR file:
```
SrCa2AcS4
1.0
4.1682 0.0000 0.0000
0.0000 7.2168 -0.1424
0.0000 2.5400 6.7739
Sr Ca Ac S
1 2 1 4
direct
0.5000 0.5000 0.0000 Sr
0.0000 0.0000 0.0000 Ca
0.5000 0.0000 0.5000 Ca
0.0000 0.5000 0.5000 Ac
0.0000 0.7639 0.7453 S
0.0000 0.2362 0.2547 S
0.5000 0.7661 0.2434 S
0.5000 0.2339 0.7566 S
```

***

DFT (PBE-GGA) results for a relaxed CaAcTb2S4 crystal.

Computed properties:
**DFT total energy**: -5.9906 eV/atom
**Crystal system**: monoclinic
**Space-group type**: No. 10

POSCAR file:
```
CaAcTb2S4
1.0
4.0218 0.0000 0.0000
0.0000 7.0503 -0.1735
0.0000 2.4494 6.5886
Ca Ac Tb S
1 1 2 4
direct
0.0000 0.5000 0.5000 Ca
0.5000 0.5000 0.0000 Ac
0.0000 0.0000 0.0000 Tb
0.5000 0.0000 0.5000 Tb
0.0000 0.7689 0.7328 S
0.0000 0.2311 0.2672 S
0.5000 0.7621 0.2553 S
0.5000 0.2379 0.7447 S
```

***

DFT (PBE-GGA) results for a relaxed CaAcTeS crystal.

Computed properties:
**DFT total energy**: -4.8712 eV/atom
**Crystal system**: tetragonal
**Space-group type**: No. 129

POSCAR file:
```
CaAcTeS
1.0
-0.4379 -3.6496 3.4114
2.9022 -2.9732 -2.8083
8.4548 3.5950 4.9313
Ca Ac Te S
2 2 2 2
direct
0.0000 0.0000 0.5000 Ca
0.5000 0.5000 0.5000 Ca
0.0000 0.5000 0.8570 Ac
0.5000 0.0000 0.1430 Ac
0.5000 0.0000 0.6859 Te
0.0000 0.5000 0.3141 Te
0.5000 0.5000 0.0000 S
0.0000 0.0000 0.0000 S
```

***

DFT (PBE-GGA) results for a relaxed CaAc2Tl3S6 crystal.

Computed properties:
**DFT total energy**: -4.8367 eV/atom
**Crystal system**: monoclinic
**Space-group type**: No. 12

POSCAR file:
```
CaAc2Tl3S6
1.0
4.3643 0.0000 0.0000
0.0000 8.7646 0.2198
-2.1821 -2.6286 9.2017
Ca Ac Tl S
1 2 3 6
direct
0.5000 0.0000 0.0000 Ca
0.8366 0.6770 0.6731 Ac
0.1634 0.3230 0.3269 Ac
0.5000 0.5000 0.0000 Tl
0.8405 0.1652 0.6809 Tl
0.1595 0.8348 0.3191 Tl
0.3449 0.9099 0.6898 S
0.6740 0.5612 0.3481 S
0.6551 0.0901 0.3102 S
0.0046 0.2234 0.0091 S
0.9954 0.7766 0.9909 S
0.3260 0.4388 0.6519 S
```

***

DFT (PBE-GGA) results for a relaxed CaAcTm2S4 crystal.

Computed properties:
**DFT total energy**: -5.9105 eV/atom
**Crystal system**: monoclinic
**Space-group type**: No. 10

POSCAR file:
```
CaAcTm2S4
1.0
3.9693 0.0000 0.0000
0.0000 6.9989 -0.1857
0.0000 2.4183 6.5064
Ca Ac Tm S
1 1 2 4
direct
0.0000 0.5000 0.5000 Ca
0.5000 0.5000 0.0000 Ac
0.0000 0.0000 0.0000 Tm
0.5000 0.0000 0.5000 Tm
0.0000 0.7767 0.7306 S
0.0000 0.2233 0.2694 S
0.5000 0.7699 0.2527 S
0.5000 0.2301 0.7473 S
```

***

Here are the calculated Fermi-level density of states numbers, same order: 5.5, 1.6, 18.5, 3.1, 3.5, 3.3, 4.1, 2.9, 3.0, 3.8, 7.8, 3.0 (states/eV per cell).